Crystalline LiMn2FeO4 at its relaxed geometry. Source: the Alexandria database, functional PBE with a Hubbard U.

DFT total energy, eV per atom: -6.759

a = 3.0624 Å, b = 5.3058 Å, c = 5.3395 Å
α = 70.82°, β = 90.00°, γ = 90.00°
Closest atoms and distances in Å follow each position.
Fractional positions:
O 0.0000 0.2316 0.2800  3 Mn 2.07-2.23, 1 Fe 2.12, 2 Li 2.28
O 0.5000 0.7674 0.2676  3 Mn 2.02-2.18, 2 Fe 2.18
O 0.5000 0.2326 0.7324  3 Mn 2.02-2.18, 2 Fe 2.18
O 0.0000 0.7684 0.7200  3 Mn 2.07-2.23, 1 Fe 2.12, 2 Li 2.28
Mn 0.5000 0.0000 0.5000  6 O 2.02-2.07
Mn 0.0000 0.0000 0.0000  6 O 2.18-2.23
Fe 0.0000 0.5000 0.5000  6 O 2.12-2.18
Li 0.5000 0.5000 0.0000  6 O 2.28-2.32